1.
# Nd3Ge2Rh2 (PBEsol, optimized geometry)
# Formation energy from the elements = -0.86 eV per atom
data_Nd3Ge2Rh2
_space_group_name_H-M_alt 'P 1'
_space_group_IT_number 1
_space_group_name_Hall 'P 1'
_cell_length_a 5.6450
_cell_length_b 7.9417
_cell_length_c 13.3087
_cell_angle_alpha 90.00
_cell_angle_beta 90.00
_cell_angle_gamma 90.00
loop_
_atom_site_label
_atom_site_fract_x
_atom_site_fract_y
_atom_site_fract_z
Rh1 0.3783 0.4622 0.9090
Rh2 0.6217 0.5378 0.0910
Rh3 0.6217 0.5378 0.4090
Rh4 0.6217 0.9622 0.9090
Rh5 0.6217 0.9622 0.5910
Rh6 0.3783 0.4622 0.5910
Rh7 0.3783 0.0378 0.4090
Rh8 0.3783 0.0378 0.0910
Nd1 0.6376 0.2506 0.2500
Nd2 0.1429 0.3913 0.4004
Nd3 0.1429 0.1087 0.9004
Nd4 0.8571 0.6087 0.5996
Nd5 0.3624 0.7506 0.2500
Nd6 0.1429 0.1087 0.5996
Nd7 0.6376 0.2494 0.7500
Nd8 0.8571 0.8913 0.4004
Nd9 0.8571 0.8913 0.0996
Nd10 0.1429 0.3913 0.0996
Nd11 0.3624 0.7494 0.7500
Nd12 0.8571 0.6087 0.9004
Ge1 0.6507 0.2500 0.0000
Ge2 0.1429 0.1042 0.2500
Ge3 0.8571 0.6042 0.2500
Ge4 0.6507 0.2500 0.5000
Ge5 0.1429 0.3958 0.7500
Ge6 0.3493 0.7500 0.0000
Ge7 0.3493 0.7500 0.5000
Ge8 0.8571 0.8958 0.7500

***

2.
# NdGe2Rh (PBEsol, optimized geometry)
# Formation energy from the elements = -0.82 eV per atom
data_NdGe2Rh
_space_group_name_H-M_alt 'P 1'
_space_group_IT_number 1
_space_group_name_Hall 'P 1'
_cell_length_a 4.1747
_cell_length_b 5.7930
_cell_length_c 6.6993
_cell_angle_alpha 90.00
_cell_angle_beta 90.00
_cell_angle_gamma 111.12
loop_
_atom_site_label
_atom_site_fract_x
_atom_site_fract_y
_atom_site_fract_z
Nd1 0.9251 0.8502 0.7500
Nd2 0.0749 0.1498 0.2500
Ge1 0.3517 0.7035 0.4527
Ge2 0.6483 0.2965 0.5473
Ge3 0.6483 0.2965 0.9527
Ge4 0.3517 0.7035 0.0473
Rh1 0.8014 0.6028 0.2500
Rh2 0.1986 0.3972 0.7500

***

3.
# NdGe2Ru2 (PBEsol, optimized geometry)
# Formation energy from the elements = -0.66 eV per atom
data_NdGe2Ru2
_space_group_name_H-M_alt 'P 1'
_space_group_IT_number 1
_space_group_name_Hall 'P 1'
_cell_length_a 4.2306
_cell_length_b 4.2306
_cell_length_c 5.8084
_cell_angle_alpha 111.36
_cell_angle_beta 111.36
_cell_angle_gamma 90.00
loop_
_atom_site_label
_atom_site_fract_x
_atom_site_fract_y
_atom_site_fract_z
Nd1 0.0000 0.0000 0.0000
Ru1 0.7500 0.2500 0.5000
Ru2 0.2500 0.7500 0.5000
Ge1 0.6316 0.6316 0.2632
Ge2 0.3684 0.3684 0.7368

***

4.
# Nd2Ge2Ru (PBEsol, optimized geometry)
# Formation energy from the elements = -0.75 eV per atom
data_Nd2Ge2Ru
_space_group_name_H-M_alt 'P 1'
_space_group_IT_number 1
_space_group_name_Hall 'P 1'
_cell_length_a 4.2951
_cell_length_b 5.9336
_cell_length_c 9.3376
_cell_angle_alpha 83.60
_cell_angle_beta 76.70
_cell_angle_gamma 68.78
loop_
_atom_site_label
_atom_site_fract_x
_atom_site_fract_y
_atom_site_fract_z
Ge1 0.4970 0.1335 0.8725
Ge2 0.5030 0.8665 0.1275
Ge3 0.6520 0.2625 0.4335
Ge4 0.3480 0.7375 0.5665
Ru1 0.7248 0.9281 0.6223
Ru2 0.2752 0.0719 0.3777
Nd1 0.1862 0.7370 0.8906
Nd2 0.9948 0.3345 0.6760
Nd3 0.8138 0.2630 0.1094
Nd4 0.0052 0.6655 0.3240

***

5.
# Nd3Ge2Ru2 (PBEsol, optimized geometry)
# Formation energy from the elements = -0.61 eV per atom
data_Nd3Ge2Ru2
_space_group_name_H-M_alt 'P 1'
_space_group_IT_number 1
_space_group_name_Hall 'P 1'
_cell_length_a 5.6545
_cell_length_b 7.8460
_cell_length_c 13.5264
_cell_angle_alpha 90.00
_cell_angle_beta 90.00
_cell_angle_gamma 90.00
loop_
_atom_site_label
_atom_site_fract_x
_atom_site_fract_y
_atom_site_fract_z
Nd1 0.1497 0.0976 0.4015
Nd2 0.6269 0.2379 0.2500
Nd3 0.8503 0.9024 0.5985
Nd4 0.8503 0.5976 0.0985
Nd5 0.3731 0.7621 0.7500
Nd6 0.3731 0.7379 0.2500
Nd7 0.8503 0.9024 0.9015
Nd8 0.6269 0.2621 0.7500
Nd9 0.1497 0.4024 0.5985
Nd10 0.1497 0.4024 0.9015
Nd11 0.1497 0.0976 0.0985
Nd12 0.8503 0.5976 0.4015
Ru1 0.6459 0.5309 0.9095
Ru2 0.3541 0.4691 0.4095
Ru3 0.3541 0.0309 0.5905
Ru4 0.3541 0.0309 0.9095
Ru5 0.6459 0.9691 0.4095
Ru6 0.3541 0.4691 0.0905
Ru7 0.6459 0.9691 0.0905
Ru8 0.6459 0.5309 0.5905
Ge1 0.8650 0.6109 0.7500
Ge2 0.3825 0.7500 0.0000
Ge3 0.8650 0.8891 0.2500
Ge4 0.3825 0.7500 0.5000
Ge5 0.1350 0.3891 0.2500
Ge6 0.6175 0.2500 0.0000
Ge7 0.1350 0.1109 0.7500
Ge8 0.6175 0.2500 0.5000

***

6.
# Nd3Ge13Ru4 (PBEsol, optimized geometry)
# Formation energy from the elements = -0.48 eV per atom
data_Nd3Ge13Ru4
_space_group_name_H-M_alt 'P 1'
_space_group_IT_number 1
_space_group_name_Hall 'P 1'
_cell_length_a 9.0092
_cell_length_b 9.0092
_cell_length_c 9.0092
_cell_angle_alpha 90.00
_cell_angle_beta 90.00
_cell_angle_gamma 90.00
loop_
_atom_site_label
_atom_site_fract_x
_atom_site_fract_y
_atom_site_fract_z
Ru1 0.7500 0.2500 0.2500
Ru2 0.7500 0.7500 0.2500
Ru3 0.7500 0.7500 0.7500
Ru4 0.2500 0.7500 0.2500
Ru5 0.2500 0.7500 0.7500
Ru6 0.7500 0.2500 0.7500
Ru7 0.2500 0.2500 0.7500
Ru8 0.2500 0.2500 0.2500
Ge1 0.6474 0.5000 0.7967
Ge2 0.2967 0.0000 0.1474
Ge3 0.7967 0.6474 0.5000
Ge4 0.7967 0.3526 0.5000
Ge5 0.8526 0.7033 0.0000
Ge6 0.0000 0.0000 0.0000
Ge7 0.7033 0.0000 0.1474
Ge8 0.5000 0.7967 0.3526
Ge9 0.3526 0.5000 0.7967
Ge10 0.5000 0.2033 0.6474
Ge11 0.5000 0.2033 0.3526
Ge12 0.0000 0.8526 0.2967
Ge13 0.2033 0.3526 0.5000
Ge14 0.0000 0.1474 0.2967
Ge15 0.0000 0.1474 0.7033
Ge16 0.3526 0.5000 0.2033
Ge17 0.2033 0.6474 0.5000
Ge18 0.7033 0.0000 0.8526
Ge19 0.6474 0.5000 0.2033
Ge20 0.5000 0.7967 0.6474
Ge21 0.0000 0.8526 0.7033
Ge22 0.1474 0.2967 0.0000
Ge23 0.1474 0.7033 0.0000
Ge24 0.8526 0.2967 0.0000
Ge25 0.2967 0.0000 0.8526
Ge26 0.5000 0.5000 0.5000
Nd1 0.0000 0.5000 0.7500
Nd2 0.0000 0.5000 0.2500
Nd3 0.7500 0.0000 0.5000
Nd4 0.5000 0.2500 0.0000
Nd5 0.5000 0.7500 0.0000
Nd6 0.2500 0.0000 0.5000

***

7.
# Nd6Ge3S14 (PBEsol, optimized geometry)
# Formation energy from raw total energies = -1.52 eV/atom
data_Nd6Ge3S14
_space_group_name_H-M_alt 'P 1'
_space_group_IT_number 1
_space_group_name_Hall 'P 1'
_cell_length_a 5.7092
_cell_length_b 10.1203
_cell_length_c 10.1203
_cell_angle_alpha 120.00
_cell_angle_beta 90.00
_cell_angle_gamma 90.00
loop_
_atom_site_label
_atom_site_fract_x
_atom_site_fract_y
_atom_site_fract_z
S1 0.5566 0.0000 0.0000
S2 0.7610 0.5011 0.5769
S3 0.0167 0.2298 0.0802
S4 0.0167 0.9198 0.1496
S5 0.5110 0.4365 0.2526
S6 0.0167 0.8504 0.7702
S7 0.0491 0.6667 0.3333
S8 0.7610 0.4231 0.9243
S9 0.7610 0.0757 0.4989
S10 0.2714 0.2414 0.4102
S11 0.2714 0.5898 0.8312
S12 0.5110 0.8161 0.5635
S13 0.5110 0.7474 0.1839
S14 0.2714 0.1688 0.7586
Nd1 0.2484 0.5651 0.5397
Nd2 0.2484 0.4603 0.0254
Nd3 0.7564 0.2075 0.3085
Nd4 0.7564 0.1010 0.7925
Nd5 0.7564 0.6915 0.8990
Nd6 0.2484 0.9746 0.4349
Ge1 0.1750 0.0000 0.0000
Ge2 0.6669 0.6667 0.3333
Ge3 0.5148 0.3333 0.6667

***

8.
# NdScGe (PBEsol, optimized geometry)
# Formation energy from the elements = -0.75 eV per atom
data_NdScGe
_space_group_name_H-M_alt 'P 1'
_space_group_IT_number 1
_space_group_name_Hall 'P 1'
_cell_length_a 4.2604
_cell_length_b 4.2604
_cell_length_c 8.4443
_cell_angle_alpha 104.61
_cell_angle_beta 104.61
_cell_angle_gamma 90.00
loop_
_atom_site_label
_atom_site_fract_x
_atom_site_fract_y
_atom_site_fract_z
Ge1 0.8768 0.8768 0.7536
Ge2 0.1232 0.1232 0.2464
Sc1 0.5000 0.0000 0.0000
Sc2 0.0000 0.5000 0.0000
Nd1 0.3232 0.3232 0.6463
Nd2 0.6768 0.6768 0.3537